1.
# DyTmPu

Crystalline DyTmPu at its relaxed geometry (PBE, Alexandria via LeMat-Bulk).

Calculated density = 10.79 g/cm³
ΔH_f (0 K) = 0.16 eV per atom
Energy = -7.64 eV/atom
Polymorph energy (0 for the lowest one) = 0.057 eV/atom

Cell: 3.339 5.530 9.596 Å, 90.00 90.00 90.00°
Space group Pmmn (No. 59, origin choice 2)
Asymmetric unit:
Dy 0.250 0.250 0.067 [2 per cell]
Tm 0.250 0.750 0.599 [2 per cell]
Pu 0.250 0.750 0.256 [2 per cell]

2.
# Dy6TmPu

Crystalline Dy6TmPu at its relaxed geometry (PBE, Alexandria via LeMat-Bulk).

Calculated density = 9.23 g/cm³
ΔH_f (0 K) = 0.23 eV per atom
Energy = -5.58 eV/atom

Cell: 6.410 6.675 6.823 Å, 60.89 78.72 82.11°
Space group P-1 (No. 2)
Asymmetric unit:
Dy 0.227 0.435 0.096 [2 per cell]
Dy 0.249 0.434 0.568 [2 per cell]
Dy 0.256 0.909 0.575 [2 per cell]
Tm 0.500 0.000 0.000 [1 per cell]
Pu 0.000 0.000 0.000 [1 per cell]

3.
# DyTm2Pu

Crystalline DyTm2Pu at its relaxed geometry (PBE, Alexandria via LeMat-Bulk).

Calculated density = 10.42 g/cm³
ΔH_f (0 K) = 0.09 eV per atom
Energy = -6.88 eV/atom
Polymorph energy (0 for the lowest one) = 0.008 eV/atom

Cell: 3.464 3.464 9.887 Å, 90.00 90.00 90.00°
Space group P4/mmm (No. 123)
Asymmetric unit:
Dy 0.000 0.000 0.000 [1 per cell]
Tm 0.500 0.500 0.255 [2 per cell]
Pu 0.000 0.000 0.500 [1 per cell]

4.
# Dy8Tm3Pu

Crystalline Dy8Tm3Pu at its relaxed geometry (PBE, Alexandria via LeMat-Bulk).

Calculated density = 8.19 g/cm³
ΔH_f (0 K) = 0.60 eV per atom
Energy = -4.78 eV/atom

Cell: 8.561 8.561 11.344 Å, 90.00 90.00 90.00°
Space group I-42m (No. 121)
Asymmetric unit:
Dy 0.127 0.127 0.268 [8 per cell]
Dy 0.232 0.232 0.532 [8 per cell]
Tm 0.000 0.000 0.000 [2 per cell]
Tm 0.000 0.500 0.250 [4 per cell]
Pu 0.000 0.000 0.500 [2 per cell]

5.
# Dy2Tm5Pu

Crystalline Dy2Tm5Pu at its relaxed geometry (PBE, Alexandria via LeMat-Bulk).

Calculated density = 9.69 g/cm³
ΔH_f (0 K) = 0.17 eV per atom
Energy = -5.56 eV/atom

Cell: 6.250 6.738 11.731 Å, 80.94 83.57 89.60°
Space group P-1 (No. 2)
Asymmetric unit:
Dy 0.000 0.000 0.000 [1 per cell]
Dy 0.000 0.000 0.500 [1 per cell]
Dy 0.000 0.500 0.000 [1 per cell]
Dy 0.500 0.000 0.500 [1 per cell]
Tm 0.231 0.800 0.758 [2 per cell]
Tm 0.246 0.545 0.517 [2 per cell]
Tm 0.260 0.417 0.254 [2 per cell]
Tm 0.270 0.915 0.248 [2 per cell]
Tm 0.498 0.251 0.000 [2 per cell]
Pu 0.240 0.289 0.760 [2 per cell]

6.
# Dy5TmPu

Crystalline Dy5TmPu at its relaxed geometry (PBE, Alexandria via LeMat-Bulk).

Calculated density = 7.29 g/cm³
ΔH_f (0 K) = 0.89 eV per atom
Energy = -5.08 eV/atom

Cell: 11.377 8.551 5.740 Å, 90.00 91.39 90.00°
Space group C2/m (No. 12)
Asymmetric unit:
Dy 0.000 0.000 0.000 [2 per cell]
Dy 0.000 0.311 0.500 [4 per cell]
Dy 0.242 0.000 0.515 [4 per cell]
Tm 0.000 0.500 0.000 [2 per cell]
Pu 0.000 0.000 0.500 [2 per cell]

What is the formula in the fourth record?
Dy8Tm3Pu

The highest ΔH_f (0 K) belongs to which entry?
Dy5TmPu